Entry 1:
DFT (PBE) results for a relaxed structure of Ga2TeMo.

## Properties
Crystal system ... cubic
Energy ... -4.526 eV/atom

Geometry as POSCAR:
```
Ga2TeMo
1.0
6.702 0.000 0.000
0.000 6.702 0.000
0.000 0.000 6.702
Ga Te Mo
8 4 4
Cartesian
0.000 0.000 0.000 Ga
0.000 3.351 3.351 Ga
1.676 1.676 1.676 Ga
1.676 5.027 5.027 Ga
3.351 0.000 3.351 Ga
3.351 3.351 0.000 Ga
5.027 1.676 5.027 Ga
5.027 5.027 1.676 Ga
1.676 1.676 5.027 Te
1.676 5.027 1.676 Te
5.027 1.676 1.676 Te
5.027 5.027 5.027 Te
0.000 0.000 3.351 Mo
0.000 3.351 0.000 Mo
3.351 0.000 0.000 Mo
3.351 3.351 3.351 Mo
```

Entry 2:
DFT (PBE) results for a relaxed structure of DyTm3Tl2N2.

## Properties
Crystal system ... trigonal
Energy ... -5.952 eV/atom

Geometry as POSCAR:
```
DyTm3Tl2N2
1.0
3.488 0.000 0.000
-1.744 3.021 0.000
0.000 0.000 15.557
Dy Tm Tl N
1 3 2 2
Cartesian
0.000 0.000 0.000 Dy
0.000 0.000 5.173 Tm
0.000 2.014 7.768 Tm
0.000 2.014 12.931 Tm
0.000 0.000 10.345 Tl
0.000 2.014 2.604 Tl
1.744 1.007 6.472 N
1.744 1.007 14.190 N
```

For reference, calculated volume by record: 301 164 Å³ per cell.